Entry 1:
{"formula": "ScMo2I", "functional": "GGA-PBE", "state": "relaxed", "spacegroup": "No. 225", "m_tot_mub_per_fu": 0.00, "e_above_lowest_polymorph_mev_per_atom": 0, "mass_density_g_cm3": 8.41, "formation_energy_uncorrected_mev_per_atom": 753, "lattice_angstrom": [[-2.0897, -4.1246, -0.6178], [-3.4194, -0.4347, -3.1432], [0.7296, -2.4204, -3.9205]], "species": ["I", "Mo", "Mo", "Sc"], "frac_coords": [[0.5000, 0.5000, 0.5000], [0.2500, 0.2500, 0.2500], [0.7500, 0.7500, 0.7500], [0.0000, 0.0000, 0.0000]]}

***

Entry 2:
{"formula": "Sm4Dy2Sc", "functional": "GGA-PBE", "state": "relaxed", "formation_energy_ev_per_atom": 0.069, "spacegroup": "No. 43", "m_tot_mub_per_fu": 0.00, "e_above_lowest_polymorph_mev_per_atom": 0, "mass_density_g_cm3": 7.20, "lattice_angstrom": [[-4.2944, -1.3003, -11.4918], [6.8631, -4.1367, 9.3798], [-5.9218, -0.2776, 3.1279]], "species": ["Sm", "Sm", "Sm", "Sm", "Sm", "Sm", "Sm", "Sm", "Dy", "Dy", "Dy", "Dy", "Sc", "Sc"], "frac_coords": [[0.7060, 0.1694, 0.8572], [0.5988, 0.5623, 0.6434], [0.1866, 0.7979, 0.8961], [0.5623, 0.5988, 0.1434], [0.1520, 0.0408, 0.1043], [0.7979, 0.1866, 0.3961], [0.0408, 0.1520, 0.6043], [0.1694, 0.7060, 0.3572], [0.1029, 0.9221, 0.5482], [0.6240, 0.3048, 0.4521], [0.3048, 0.6240, 0.9521], [0.9221, 0.1029, 0.0482], [0.4217, 0.6718, 0.5002], [0.6718, 0.4217, 0.0002]]}

***

Entry 3:
{"formula": "La8Ru3Cl4F", "functional": "GGA-PBE", "state": "relaxed", "spacegroup": "No. 166", "m_tot_mub_per_fu": 0.00, "mass_density_g_cm3": 5.91, "formation_energy_uncorrected_mev_per_atom": -1278, "lattice_angstrom": [[-0.4775, 3.9540, 7.1233], [-0.2175, -7.8784, 4.3586], [6.3389, 1.3002, -4.9718]], "species": ["Cl", "Cl", "Cl", "Cl", "La", "La", "La", "La", "La", "La", "La", "La", "Ru", "Ru", "Ru", "F"], "frac_coords": [[0.5000, 0.0000, 0.5000], [0.5000, 0.0000, 0.0000], [0.0000, 0.0000, 0.0000], [0.0000, 0.0000, 0.5000], [0.2378, 0.7035, 0.9658], [0.2379, 0.7037, 0.4759], [0.7622, 0.2965, 0.0342], [0.2632, 0.2896, 0.5264], [0.7621, 0.2963, 0.5241], [0.7368, 0.7104, 0.4736], [0.2719, 0.2965, 0.0342], [0.7281, 0.7035, 0.9658], [0.5000, 0.5000, 0.5000], [0.5000, 0.5000, 0.0000], [0.0000, 0.5000, 0.5000], [0.0000, 0.5000, 0.0000]]}

***

Entry 4:
{"formula": "NdSnS2", "functional": "GGA-PBE", "state": "relaxed", "spacegroup": "No. 166", "m_tot_mub_per_fu": 0.00, "mass_density_g_cm3": 4.72, "formation_energy_uncorrected_mev_per_atom": -552, "lattice_angstrom": [[-0.4294, 3.3094, -2.0893], [-2.2089, -0.0022, -3.2593], [-7.7634, 3.1538, 2.8813]], "species": ["Sn", "S", "S", "Nd"], "frac_coords": [[0.5000, 0.5000, 0.5000], [0.1055, 0.1055, 0.6836], [0.8945, 0.8945, 0.3164], [0.0000, 0.0000, 0.0000]]}

***

Entry 5:
{"formula": "BaSr4Tl5", "functional": "GGA-PBE", "state": "relaxed", "formation_energy_ev_per_atom": -0.425, "spacegroup": "No. 123", "m_tot_mub_per_fu": 0.00, "mass_density_g_cm3": 7.07, "lattice_angstrom": [[-2.0519, 2.2813, -2.7716], [-3.5669, -0.9366, 1.8698], [2.0259, 16.6501, 12.2049]], "species": ["Sr", "Sr", "Sr", "Sr", "Tl", "Tl", "Tl", "Tl", "Tl", "Ba"], "frac_coords": [[0.0000, 0.0000, 0.5979], [0.0000, 0.0000, 0.4021], [0.0000, 0.0000, 0.7936], [0.0000, 0.0000, 0.2064], [0.5000, 0.5000, 0.6963], [0.5000, 0.5000, 0.3037], [0.5000, 0.5000, 0.5000], [0.5000, 0.5000, 0.1100], [0.5000, 0.5000, 0.8900], [0.0000, 0.0000, 0.0000]]}

***

Entry 6:
{"formula": "K2CdIrN", "functional": "GGA-PBE", "state": "relaxed", "spacegroup": "No. 123", "m_tot_mub_per_fu": 0.00, "e_above_lowest_polymorph_mev_per_atom": 0, "mass_density_g_cm3": 4.91, "formation_energy_uncorrected_mev_per_atom": -14, "lattice_angstrom": [[-4.8763, -0.1605, -3.5014], [1.9896, -5.0656, -2.5387], [-1.7895, -1.9977, 2.5837]], "species": ["Ir", "K", "K", "N", "Cd"], "frac_coords": [[0.0000, 0.0000, 0.5000], [0.5000, 0.0000, 0.0000], [0.0000, 0.5000, 0.0000], [0.0000, 0.0000, 0.0000], [0.5000, 0.5000, 0.5000]]}

***

Entry 7:
{"formula": "Pm7Sm2Tm2", "functional": "GGA-PBE", "state": "relaxed", "formation_energy_ev_per_atom": 0.337, "spacegroup": "No. 65", "m_tot_mub_per_fu": 0.00, "e_above_lowest_polymorph_mev_per_atom": 167, "mass_density_g_cm3": 7.10, "lattice_angstrom": [[9.6023, 0.0002, -0.0004], [0.0004, 6.4095, -2.5760], [-0.0003, -1.2624, 6.7914]], "species": ["Pm", "Pm", "Pm", "Pm", "Pm", "Pm", "Pm", "Sm", "Sm", "Tm", "Tm"], "frac_coords": [[0.6819, 0.0000, 0.5000], [0.0000, 0.0000, 0.0000], [0.3181, 0.0000, 0.5000], [0.3181, 0.5000, 0.0000], [0.1801, 0.5000, 0.5000], [0.8199, 0.5000, 0.5000], [0.6819, 0.5000, 0.0000], [0.0000, 0.2681, 0.7319], [0.0000, 0.7319, 0.2681], [0.5000, 0.7489, 0.7489], [0.5000, 0.2511, 0.2511]]}

***

Entry 8:
{"formula": "PmSmCuSi", "functional": "GGA-PBE", "state": "relaxed", "spacegroup": "No. 216", "m_tot_mub_per_fu": 0.00, "e_above_lowest_polymorph_mev_per_atom": 86, "mass_density_g_cm3": 7.01, "formation_energy_uncorrected_mev_per_atom": -388, "lattice_angstrom": [[-1.0773, -0.4146, -4.9282], [-3.9190, -2.8279, -1.5047], [-4.1451, 2.2147, -1.8794]], "species": ["Cu", "Pm", "Si", "Sm"], "frac_coords": [[0.2500, 0.2500, 0.2500], [0.0000, 0.0000, 0.0000], [0.7500, 0.7500, 0.7500], [0.5000, 0.5000, 0.5000]]}

***

Entry 9:
{"formula": "NaPaTlCl6", "functional": "GGA-PBE", "state": "relaxed", "spacegroup": "No. 163", "m_tot_mub_per_fu": 1.01, "mass_density_g_cm3": 3.57, "formation_energy_uncorrected_mev_per_atom": -1721, "lattice_angstrom": [[7.2326, 0.0000, 0.0000], [-3.6163, 6.2636, 0.0000], [0.0000, 0.0000, 13.7725]], "species": ["Na", "Na", "Cl", "Cl", "Cl", "Cl", "Cl", "Cl", "Cl", "Cl", "Cl", "Cl", "Cl", "Cl", "Tl", "Tl", "Pa", "Pa"], "frac_coords": [[0.6667, 0.3333, 0.7500], [0.3333, 0.6667, 0.2500], [0.3550, 0.3756, 0.8601], [0.3756, 0.0205, 0.1399], [0.0205, 0.3756, 0.6399], [0.9795, 0.6244, 0.3601], [0.6450, 0.0205, 0.3601], [0.9795, 0.3550, 0.1399], [0.3550, 0.9795, 0.6399], [0.6450, 0.6244, 0.1399], [0.6244, 0.9795, 0.8601], [0.3756, 0.3550, 0.3601], [0.6244, 0.6450, 0.6399], [0.0205, 0.6450, 0.8601], [0.0000, 0.0000, 0.0000], [0.0000, 0.0000, 0.5000], [0.6667, 0.3333, 0.2500], [0.3333, 0.6667, 0.7500]]}

***

Entry 10:
{"formula": "InPRh2", "functional": "GGA-PBE", "state": "relaxed", "formation_energy_ev_per_atom": -0.362, "spacegroup": "No. 123", "m_tot_mub_per_fu": 0.00, "mass_density_g_cm3": 9.61, "lattice_angstrom": [[2.9572, 0.0000, 0.0000], [0.0000, 2.9572, 0.0000], [0.0000, 0.0000, 6.9472]], "species": ["Rh", "Rh", "P", "In"], "frac_coords": [[0.0000, 0.0000, 0.2955], [0.0000, 0.0000, 0.7045], [0.5000, 0.5000, 0.5000], [0.5000, 0.5000, 0.0000]]}

***

Entry 11:
{"formula": "CeEuRh2", "functional": "GGA-PBE", "state": "relaxed", "formation_energy_ev_per_atom": -0.540, "spacegroup": "No. 225", "m_tot_mub_per_fu": 6.83, "e_above_lowest_polymorph_mev_per_atom": 71, "mass_density_g_cm3": 9.72, "lattice_angstrom": [[4.9358, 0.0000, 0.0000], [2.4679, 4.2746, 0.0000], [2.4679, 1.4249, 4.0301]], "species": ["Eu", "Rh", "Rh", "Ce"], "frac_coords": [[0.0000, 0.0000, 0.0000], [0.7500, 0.7500, 0.7500], [0.2500, 0.2500, 0.2500], [0.5000, 0.5000, 0.5000]]}

***

Entry 12:
{"formula": "SiNiSb2Te", "functional": "GGA-PBE", "state": "relaxed", "spacegroup": "No. 123", "m_tot_mub_per_fu": 0.00, "e_above_lowest_polymorph_mev_per_atom": 0, "mass_density_g_cm3": 6.05, "formation_energy_uncorrected_mev_per_atom": 565, "lattice_angstrom": [[-4.0115, -0.8961, -2.6441], [0.5316, -4.7893, 0.8166], [-2.9492, 0.4118, 4.3349]], "species": ["Te", "Sb", "Sb", "Ni", "Si"], "frac_coords": [[0.0000, 0.0000, 0.5000], [0.0000, 0.5000, 0.0000], [0.5000, 0.0000, 0.0000], [0.0000, 0.0000, 0.0000], [0.5000, 0.5000, 0.5000]]}